Record 1
## KCa2Mg (PBE)

Data for KCa2Mg after structural relaxation.

**SG**: Cmmm, No. 65
**ΔH_f (0 K)**: 203 meV per atom
**DOS at the Fermi energy**: 2.8 states/eV/cell
**Total DFT energy (no corrections)**: -1.4710 eV/atom

abc: 6.739 6.739 3.782
angles: 90.00 90.00 109.60
Sites, in units of the cell vectors:
K 0.000 0.000 0.000
Ca 0.000 0.500 0.500
Ca 0.500 0.000 0.500
Mg 0.500 0.500 0.000

Record 2
## Na3Hg2Te4 (PBE)

Data for Na3Hg2Te4 after structural relaxation.

**Raw formation energy**: -480 meV/atom
**SG**: P-1, No. 2
**Offset from the most stable computed form**: 0 meV/atom
**DOS at the Fermi energy**: 3.2 states/eV/cell
**Total DFT energy (no corrections)**: -2.3834 eV/atom

abc: 4.715 7.307 9.025
angles: 111.57 105.08 90.04
Sites, in units of the cell vectors:
Na 0.000 0.000 0.000
Na 0.124 0.563 0.248
Na 0.876 0.437 0.752
Hg 0.337 0.987 0.673
Hg 0.663 0.013 0.327
Te 0.223 0.250 0.447
Te 0.499 0.721 0.998
Te 0.501 0.279 0.002
Te 0.777 0.750 0.553

Record 3
## Li4NdGe2 (PBE)

Data for Li4NdGe2 after structural relaxation.

**SG**: P4_2/mnm, No. 136
**ΔH_f (0 K)**: -468 meV per atom
**DOS at the Fermi energy**: 5.8 states/eV/cell
**Total DFT energy (no corrections)**: -3.5617 eV/atom

abc: 7.728 7.728 4.405
angles: 90.00 90.00 90.00
Sites, in units of the cell vectors:
Li 0.102 0.346 0.000
Li 0.154 0.602 0.500
Li 0.346 0.102 0.000
Li 0.398 0.846 0.500
Li 0.602 0.154 0.500
Li 0.654 0.898 0.000
Li 0.846 0.398 0.500
Li 0.898 0.654 0.000
Nd 0.000 0.000 0.500
Nd 0.500 0.500 0.000
Ge 0.211 0.789 0.000
Ge 0.289 0.289 0.500
Ge 0.711 0.711 0.500
Ge 0.789 0.211 0.000

Record 4
## PrAl3CdAg (PBE)

Data for PrAl3CdAg after structural relaxation.

**SG**: Cmcm, No. 63
**ΔH_f (0 K)**: -88 meV per atom
**DOS at the Fermi energy**: 5.1 states/eV/cell
**Total DFT energy (no corrections)**: -3.3836 eV/atom

abc: 7.985 7.985 6.153
angles: 90.00 90.00 137.79
Sites, in units of the cell vectors:
Pr 0.181 0.819 0.750
Pr 0.819 0.181 0.250
Al 0.226 0.226 0.000
Al 0.226 0.226 0.500
Al 0.387 0.613 0.250
Al 0.613 0.387 0.750
Al 0.774 0.774 0.000
Al 0.774 0.774 0.500
Cd 0.164 0.836 0.250
Cd 0.836 0.164 0.750
Ag 0.391 0.609 0.750
Ag 0.609 0.391 0.250

Record 5
## InSiTe (PBE)

Data for InSiTe after structural relaxation.

**Raw formation energy**: 242 meV/atom
**SG**: I4mm, No. 107
**Offset from the most stable computed form**: 145 meV/atom
**DOS at the Fermi energy**: 0.5 states/eV/cell
**Total DFT energy (no corrections)**: -3.5262 eV/atom

abc: 6.497 6.497 6.497
angles: 147.50 147.50 46.62
Sites, in units of the cell vectors:
In 0.000 0.000 0.000
Si 0.330 0.330 0.000
Te 0.726 0.726 0.000

Record 6
## Ta2IrPt (PBE)

Data for Ta2IrPt after structural relaxation.

**SG**: R-3m, No. 166
**ΔH_f (0 K)**: -309 meV per atom
**DOS at the Fermi energy**: 5.6 states/eV/cell
**Total DFT energy (no corrections)**: -9.9609 eV/atom

abc: 9.441 9.441 9.441
angles: 17.41 17.41 17.41
Sites, in units of the cell vectors:
Ta 0.249 0.249 0.249
Ta 0.751 0.751 0.751
Ir 0.500 0.500 0.500
Pt 0.000 0.000 0.000